# 1
# LaTcMo2 (PBE-GGA, relaxed)
data_LaTcMo2
_space_group_name_H-M_alt 'P 1'
_space_group_IT_number 1
_space_group_name_Hall 'P 1'
_cell_length_a 4.6850
_cell_length_b 4.6850
_cell_length_c 4.6850
_cell_angle_alpha 60.00
_cell_angle_beta 60.00
_cell_angle_gamma 60.00
loop_
_atom_site_label
_atom_site_fract_x
_atom_site_fract_y
_atom_site_fract_z
La1 0.0000 0.0000 0.0000
Tc1 0.7500 0.7500 0.7500
Mo1 0.2500 0.2500 0.2500
Mo2 0.5000 0.5000 0.5000
# Total energy, eV per atom: -8.8086
# Space-group type: F-43m
# Energy relative to the lowest polymorph listed for this composition, meV/atom: 103
# E_form, eV/atom: 0.430

***

# 2
# La2TcMo (PBE-GGA, relaxed)
data_La2TcMo
_space_group_name_H-M_alt 'P 1'
_space_group_IT_number 1
_space_group_name_Hall 'P 1'
_cell_length_a 3.4537
_cell_length_b 4.6295
_cell_length_c 5.4093
_cell_angle_alpha 90.00
_cell_angle_beta 90.00
_cell_angle_gamma 90.00
loop_
_atom_site_label
_atom_site_fract_x
_atom_site_fract_y
_atom_site_fract_z
La1 0.0000 0.0000 0.0000
La2 0.5000 0.0000 0.5000
Tc1 0.0000 0.5000 0.5000
Mo1 0.5000 0.5000 0.0000
# Total energy, eV per atom: -7.1621
# Space-group type: Pmmm
# Energy relative to the lowest polymorph listed for this composition, meV/atom: 449
# E_form, eV/atom: 0.601